Here is an optimized crystal structure of ZnCuBr2 from Alexandria. Energies are from PBE.

**DOS(E_F)**: 3.9 states/eV/cell
**Uncorrected formation energy**: -0.09 eV/atom
**E above lowest polymorph**: 0.1502 eV/atom

Cell and atoms, written as CIF:
```
data_ZnCuBr2
_cell_length_a 3.442
_cell_length_b 3.682
_cell_length_c 15.971
_cell_angle_alpha 90.00
_cell_angle_beta 90.00
_cell_angle_gamma 90.00
_symmetry_space_group_name_H-M 'I m m 2'
_symmetry_Int_Tables_number 44
_symmetry_space_group_name_Hall 'I 2 -2'
loop_
_atom_site_label
_atom_site_fract_x
_atom_site_fract_y
_atom_site_fract_z
Zn1 0.000 0.000 0.000
Cu1 0.000 0.500 0.379
Br1 0.000 0.000 0.575
Br2 0.000 0.500 0.820
```

Here is an optimized crystal structure of ZnCuBr2 from Alexandria. Energies are from PBE.

**DOS(E_F)**: 2.8 states/eV/cell
**Uncorrected formation energy**: -0.08 eV/atom
**E above lowest polymorph**: 0.1532 eV/atom

Cell and atoms, written as CIF:
```
data_ZnCuBr2
_cell_length_a 3.730
_cell_length_b 7.592
_cell_length_c 7.724
_cell_angle_alpha 90.00
_cell_angle_beta 90.00
_cell_angle_gamma 90.00
_symmetry_space_group_name_H-M 'I m m m'
_symmetry_Int_Tables_number 71
_symmetry_space_group_name_Hall '-I 2 2'
loop_
_atom_site_label
_atom_site_fract_x
_atom_site_fract_y
_atom_site_fract_z
Zn1 0.000 0.000 0.000
Cu1 0.000 0.500 0.000
Br1 0.000 0.225 0.500
```

Here is an optimized crystal structure of Zn2Cu2Br7 from Alexandria. Energies are from PBE.

**DOS(E_F)**: 33.6 states/eV/cell
**Uncorrected formation energy**: -0.58 eV/atom

Cell and atoms, written as CIF:
```
data_Zn2Cu2Br7
_cell_length_a 9.876
_cell_length_b 11.254
_cell_length_c 14.071
_cell_angle_alpha 90.00
_cell_angle_beta 107.73
_cell_angle_gamma 90.00
_symmetry_space_group_name_H-M 'C 1 2/c 1'
_symmetry_Int_Tables_number 15
_symmetry_space_group_name_Hall '-C 2yc'
loop_
_atom_site_label
_atom_site_fract_x
_atom_site_fract_y
_atom_site_fract_z
Zn1 0.189 0.038 0.215
Cu1 0.056 0.366 0.168
Br1 0.000 0.079 0.750
Br2 0.107 0.189 0.090
Br3 0.113 0.431 0.637
Br4 0.201 0.361 0.354
```

Here is an optimized crystal structure of ZnCuBr2 from Alexandria. Energies are from PBE.

**DOS(E_F)**: 1.0 states/eV/cell
**Uncorrected formation energy**: -0.09 eV/atom
**E above lowest polymorph**: 0.1503 eV/atom

Cell and atoms, written as CIF:
```
data_ZnCuBr2
_cell_length_a 3.848
_cell_length_b 3.848
_cell_length_c 6.231
_cell_angle_alpha 90.00
_cell_angle_beta 90.00
_cell_angle_gamma 90.00
_symmetry_space_group_name_H-M 'P 4 m m'
_symmetry_Int_Tables_number 99
_symmetry_space_group_name_Hall 'P 4 -2'
loop_
_atom_site_label
_atom_site_fract_x
_atom_site_fract_y
_atom_site_fract_z
Zn1 0.000 0.000 0.000
Cu1 0.500 0.500 0.545
Br1 0.000 0.000 0.456
Br2 0.500 0.500 0.947
```

Here is an optimized crystal structure of ZnCuBr2 from Alexandria. Energies are from PBE.

**DOS(E_F)**: 1.1 states/eV/cell
**Uncorrected formation energy**: -0.08 eV/atom
**E above lowest polymorph**: 0.1514 eV/atom

Cell and atoms, written as CIF:
```
data_ZnCuBr2
_cell_length_a 4.268
_cell_length_b 3.709
_cell_length_c 6.888
_cell_angle_alpha 90.00
_cell_angle_beta 97.15
_cell_angle_gamma 90.00
_symmetry_space_group_name_H-M 'P 1 2/m 1'
_symmetry_Int_Tables_number 10
_symmetry_space_group_name_Hall '-P 2y'
loop_
_atom_site_label
_atom_site_fract_x
_atom_site_fract_y
_atom_site_fract_z
Zn1 0.000 0.000 0.000
Cu1 0.500 0.000 0.500
Br1 0.291 0.500 0.270
```

Here is an optimized crystal structure of ZnCuBr2 from Alexandria. Energies are from PBE.

**DOS(E_F)**: 7.1 states/eV/cell
**Uncorrected formation energy**: 0.17 eV/atom
**E above lowest polymorph**: 0.4077 eV/atom

Cell and atoms, written as CIF:
```
data_ZnCuBr2
_cell_length_a 6.924
_cell_length_b 6.924
_cell_length_c 6.924
_cell_angle_alpha 90.00
_cell_angle_beta 90.00
_cell_angle_gamma 90.00
_symmetry_space_group_name_H-M 'F m -3 m'
_symmetry_Int_Tables_number 225
_symmetry_space_group_name_Hall '-F 4 2 3'
loop_
_atom_site_label
_atom_site_fract_x
_atom_site_fract_y
_atom_site_fract_z
Zn1 0.000 0.000 0.000
Cu1 0.000 0.000 0.500
Br1 0.250 0.250 0.250
```

Here is an optimized crystal structure of ZnCuBr2 from Alexandria. Energies are from PBE.

**DOS(E_F)**: 1.3 states/eV/cell
**Uncorrected formation energy**: 0.18 eV/atom
**E above lowest polymorph**: 0.4114 eV/atom

Cell and atoms, written as CIF:
```
data_ZnCuBr2
_cell_length_a 4.913
_cell_length_b 4.913
_cell_length_c 3.443
_cell_angle_alpha 90.00
_cell_angle_beta 90.00
_cell_angle_gamma 90.00
_symmetry_space_group_name_H-M 'P 4/m m m'
_symmetry_Int_Tables_number 123
_symmetry_space_group_name_Hall '-P 4 2'
loop_
_atom_site_label
_atom_site_fract_x
_atom_site_fract_y
_atom_site_fract_z
Zn1 0.000 0.000 0.000
Cu1 0.500 0.500 0.000
Br1 0.000 0.500 0.500
```

Here is an optimized crystal structure of ZnCuBr2 from Alexandria. Energies are from PBE.

**DOS(E_F)**: 2.0 states/eV/cell
**Uncorrected formation energy**: -0.16 eV/atom
**E above lowest polymorph**: 0.0782 eV/atom

Cell and atoms, written as CIF:
```
data_ZnCuBr2
_cell_length_a 3.600
_cell_length_b 7.618
_cell_length_c 9.026
_cell_angle_alpha 90.00
_cell_angle_beta 90.00
_cell_angle_gamma 90.00
_symmetry_space_group_name_H-M 'C m m 2'
_symmetry_Int_Tables_number 35
_symmetry_space_group_name_Hall 'C 2 -2'
loop_
_atom_site_label
_atom_site_fract_x
_atom_site_fract_y
_atom_site_fract_z
Zn1 0.000 0.000 0.000
Cu1 0.000 0.500 0.197
Br1 0.000 0.000 0.371
Br2 0.000 0.500 0.810
```

Here is an optimized crystal structure of ZnCuBr2 from Alexandria. Energies are from PBE.

**DOS(E_F)**: 3.0 states/eV/cell
**Uncorrected formation energy**: -0.21 eV/atom
**E above lowest polymorph**: 0.0305 eV/atom

Cell and atoms, written as CIF:
```
data_ZnCuBr2
_cell_length_a 12.396
_cell_length_b 3.687
_cell_length_c 5.268
_cell_angle_alpha 90.00
_cell_angle_beta 93.11
_cell_angle_gamma 90.00
_symmetry_space_group_name_H-M 'C 1 m 1'
_symmetry_Int_Tables_number 8
_symmetry_space_group_name_Hall 'C -2y'
loop_
_atom_site_label
_atom_site_fract_x
_atom_site_fract_y
_atom_site_fract_z
Zn1 0.000 0.000 0.000
Cu1 0.084 0.500 0.746
Br1 0.213 0.000 0.830
Br2 0.475 0.000 0.346
```

Here is an optimized crystal structure of ZnCuBr2 from Alexandria. Energies are from PBE.

**DOS(E_F)**: 2.9 states/eV/cell
**Uncorrected formation energy**: -0.08 eV/atom
**E above lowest polymorph**: 0.1515 eV/atom

Cell and atoms, written as CIF:
```
data_ZnCuBr2
_cell_length_a 3.729
_cell_length_b 7.772
_cell_length_c 7.574
_cell_angle_alpha 90.00
_cell_angle_beta 90.00
_cell_angle_gamma 90.00
_symmetry_space_group_name_H-M 'C m m m'
_symmetry_Int_Tables_number 65
_symmetry_space_group_name_Hall '-C 2 2'
loop_
_atom_site_label
_atom_site_fract_x
_atom_site_fract_y
_atom_site_fract_z
Zn1 0.000 0.000 0.000
Cu1 0.000 0.000 0.500
Br1 0.000 0.500 0.275
```

Here is an optimized crystal structure of ZnCuBr2 from Alexandria. Energies are from PBE.

**DOS(E_F)**: 1.4 states/eV/cell
**Uncorrected formation energy**: -0.03 eV/atom
**E above lowest polymorph**: 0.2055 eV/atom

Cell and atoms, written as CIF:
```
data_ZnCuBr2
_cell_length_a 3.743
_cell_length_b 3.770
_cell_length_c 7.568
_cell_angle_alpha 90.00
_cell_angle_beta 90.00
_cell_angle_gamma 90.00
_symmetry_space_group_name_H-M 'P m m m'
_symmetry_Int_Tables_number 47
_symmetry_space_group_name_Hall '-P 2 2'
loop_
_atom_site_label
_atom_site_fract_x
_atom_site_fract_y
_atom_site_fract_z
Zn1 0.000 0.000 0.000
Cu1 0.000 0.500 0.500
Br1 0.500 0.000 0.500
Br2 0.500 0.500 0.000
```

Here is an optimized crystal structure of ZnCuBr2 from Alexandria. Energies are from PBE.

**DOS(E_F)**: 1.0 states/eV/cell
**Uncorrected formation energy**: -0.24 eV/atom
**E above lowest polymorph**: 0.0000 eV/atom

Cell and atoms, written as CIF:
```
data_ZnCuBr2
_cell_length_a 4.702
_cell_length_b 3.525
_cell_length_c 6.926
_cell_angle_alpha 90.00
_cell_angle_beta 104.70
_cell_angle_gamma 90.00
_symmetry_space_group_name_H-M 'P 1 m 1'
_symmetry_Int_Tables_number 6
_symmetry_space_group_name_Hall 'P -2y'
loop_
_atom_site_label
_atom_site_fract_x
_atom_site_fract_y
_atom_site_fract_z
Zn1 0.000 0.000 0.000
Cu1 0.660 0.500 0.094
Br1 0.192 0.500 0.789
Br2 0.487 0.000 0.293
```

Here is an optimized crystal structure of Zn2Cu2Br from Alexandria. Energies are from PBE.

**DOS(E_F)**: 3.9 states/eV/cell
**Uncorrected formation energy**: 0.15 eV/atom
**E above lowest polymorph**: 0.0000 eV/atom

Cell and atoms, written as CIF:
```
data_Zn2Cu2Br
_cell_length_a 3.724
_cell_length_b 3.724
_cell_length_c 12.370
_cell_angle_alpha 90.00
_cell_angle_beta 90.00
_cell_angle_gamma 90.00
_symmetry_space_group_name_H-M 'I 4/m m m'
_symmetry_Int_Tables_number 139
_symmetry_space_group_name_Hall '-I 4 2'
loop_
_atom_site_label
_atom_site_fract_x
_atom_site_fract_y
_atom_site_fract_z
Zn1 0.000 0.500 0.250
Cu1 0.000 0.000 0.108
Br1 0.000 0.000 0.500
```